Density functional theory data (PBE-GGA) for a relaxed structure of CaMn2Au.

* M_tot: 8.13 μB per formula unit
* ΔE_f: 491 meV per atom

Lattice parameters (Å, degrees): 9.516 9.516 9.516 19.61 19.61 19.61
Fractional coordinates of all 4 atoms:
Ca (0.000, 0.000, 0.000)
Mn (0.238, 0.238, 0.238)
Mn (0.762, 0.762, 0.762)
Au (0.500, 0.500, 0.500)